#one
The following is a PBE calculation of BiTe2IrI after structural relaxation, from Alexandria.

abc: 5.293 5.293 5.360
angles: 90.00 90.00 90.00
Space group P4/mmm (No. 123)
Inequivalent atoms, fractional coordinates:
Bi: 0.000 0.000 0.000 [1 per cell]
Te: 0.000 0.500 0.500 [2 per cell]
Ir: 0.500 0.500 0.500 [1 per cell]
I: 0.500 0.500 0.000 [1 per cell]

## Properties
Magnetization in μB/f.u.: 0.0

=====

#two
The following is a PBE calculation of BiTe2IrI after structural relaxation, from Alexandria.

abc: 5.959 5.959 5.944
angles: 90.00 90.00 90.00
Space group P4/mmm (No. 123)
Inequivalent atoms, fractional coordinates:
Bi: 0.000 0.000 0.000 [1 per cell]
Te: 0.000 0.500 0.000 [2 per cell]
Ir: 0.500 0.500 0.500 [1 per cell]
I: 0.000 0.000 0.500 [1 per cell]

## Properties
Magnetization in μB/f.u.: 3.4

=====

Stability summary: most stable #one, least stable #two.

=====

#one
The following is a PBE calculation of KBi3I after structural relaxation, from Alexandria.

abc: 6.090 6.090 6.090
angles: 90.00 90.00 90.00
Space group Pm-3m (No. 221)
Inequivalent atoms, fractional coordinates:
K: 0.000 0.000 0.000 [1 per cell]
Bi: 0.000 0.500 0.500 [3 per cell]
I: 0.500 0.500 0.500 [1 per cell]

## Properties
Magnetization in μB/f.u.: 0.0

=====

#two
The following is a PBE calculation of KBi3I after structural relaxation, from Alexandria.

abc: 6.137 6.137 6.137
angles: 90.00 90.00 90.00
Space group Pm-3m (No. 221)
Inequivalent atoms, fractional coordinates:
K: 0.000 0.000 0.000 [1 per cell]
Bi: 0.000 0.000 0.500 [3 per cell]
I: 0.500 0.500 0.500 [1 per cell]

## Properties
Magnetization in μB/f.u.: 1.5

=====

Stability summary: most stable #one, least stable #two.

=====

#one
The following is a PBE calculation of K2BiI after structural relaxation, from Alexandria.

abc: 8.805 8.805 8.805
angles: 90.00 90.00 90.00
Space group Fm-3m (No. 225)
Inequivalent atoms, fractional coordinates:
K: 0.250 0.250 0.250 [8 per cell]
Bi: 0.000 0.000 0.000 [4 per cell]
I: 0.000 0.000 0.500 [4 per cell]

## Properties
Magnetization in μB/f.u.: 2.0

=====

#two
The following is a PBE calculation of K2BiI after structural relaxation, from Alexandria.

abc: 3.961 3.961 9.848
angles: 90.00 90.00 90.00
Space group P4/mmm (No. 123)
Inequivalent atoms, fractional coordinates:
K: 0.000 0.000 0.225 [2 per cell]
Bi: 0.500 0.500 0.500 [1 per cell]
I: 0.500 0.500 0.000 [1 per cell]

## Properties
Magnetization in μB/f.u.: 0.0

=====

Stability summary: most stable #two, least stable #one.

=====

#one
The following is a PBE calculation of KBiI2 after structural relaxation, from Alexandria.

abc: 6.529 6.529 19.722
angles: 90.00 90.00 90.00
Space group I-42d (No. 122)
Inequivalent atoms, fractional coordinates:
K: 0.000 0.000 0.000 [4 per cell]
Bi: 0.000 0.000 0.500 [4 per cell]
I: 0.194 0.250 0.625 [8 per cell]

## Properties
Magnetization in μB/f.u.: 0.0

=====

#two
The following is a PBE calculation of KBiI2 after structural relaxation, from Alexandria.

abc: 8.429 8.429 8.429
angles: 90.00 90.00 90.00
Space group Fm-3m (No. 225)
Inequivalent atoms, fractional coordinates:
K: 0.000 0.000 0.000 [4 per cell]
Bi: 0.000 0.000 0.500 [4 per cell]
I: 0.250 0.250 0.250 [8 per cell]

## Properties
Magnetization in μB/f.u.: 0.0

=====

Stability summary: most stable #one, least stable #two.

=====

#one
The following is a PBE calculation of K2LiBiI6 after structural relaxation, from Alexandria.

abc: 8.4088 8.4088 23.5131
angles: 90.00 90.00 120.00
Space group R3 (No. 146, hexagonal axes)
Inequivalent atoms, fractional coordinates:
K: 0.0000 0.0000 0.0000 [3 per cell]
K: 0.0000 0.0000 0.4980 [3 per cell]
Li: 0.0000 0.0000 0.2861 [3 per cell]
Bi: 0.0000 0.0000 0.6981 [3 per cell]
I: 0.0104 0.3942 0.4343 [9 per cell]
I: 0.0617 0.7138 0.2760 [9 per cell]

## Properties
Magnetization in μB/f.u.: 0.0

=====

#two
The following is a PBE calculation of K2LiBiI6 after structural relaxation, from Alexandria.

abc: 12.069 12.069 12.069
angles: 90.00 90.00 90.00
Space group Fm-3m (No. 225)
Inequivalent atoms, fractional coordinates:
K: 0.250 0.250 0.250 [8 per cell]
Li: 0.000 0.000 0.000 [4 per cell]
Bi: 0.000 0.000 0.500 [4 per cell]
I: 0.000 0.000 0.245 [24 per cell]

## Properties
Magnetization in μB/f.u.: 0.0

=====

Stability summary: most stable #one, least stable #two.

=====

#one
The following is a PBE calculation of KBiI2N after structural relaxation, from Alexandria.

abc: 6.383 6.383 4.894
angles: 90.00 90.00 90.00
Space group P4/mmm (No. 123)
Inequivalent atoms, fractional coordinates:
K: 0.000 0.000 0.000 [1 per cell]
Bi: 0.500 0.500 0.500 [1 per cell]
I: 0.000 0.500 0.000 [2 per cell]
N: 0.000 0.000 0.500 [1 per cell]

## Properties
Magnetization in μB/f.u.: 3.0

=====

#two
The following is a PBE calculation of KBiI2N after structural relaxation, from Alexandria.

abc: 6.505 6.505 4.314
angles: 90.00 90.00 90.00
Space group P4/mmm (No. 123)
Inequivalent atoms, fractional coordinates:
K: 0.000 0.000 0.000 [1 per cell]
Bi: 0.500 0.500 0.500 [1 per cell]
I: 0.000 0.500 0.500 [2 per cell]
N: 0.500 0.500 0.000 [1 per cell]

## Properties
Magnetization in μB/f.u.: 0.3

=====

Stability summary: most stable #two, least stable #one.